# LiFePO4, PBEsol geometry, DFT meta-GGA SCAN
# Density (g cm⁻³): 2.93
# ΔE_f (raw) (meV/atom): -2183.6
# Electronic total energy (eV per cell): -284.512
# ΔE to the lowest computed polymorph (meV per atom): 64.3
data_LiFePO4
_cell_length_a 7.0994
_cell_length_b 7.0994
_cell_length_c 7.0994
_cell_angle_alpha 90.00
_cell_angle_beta 90.00
_cell_angle_gamma 90.00
_space_group_name_H-M_alt 'P 21 3'
_space_group_IT_number 198
_space_group_name_Hall 'P 2ac 2ab 3'
loop_
_atom_site_label
_atom_site_type_symbol
_atom_site_fract_x
_atom_site_fract_y
_atom_site_fract_z
_atom_site_occupancy
Li1 Li 0.1926 0.3074 0.6926 1
Fe1 Fe 0.2453 0.2453 0.2453 1
P1 P 0.0367 0.9633 0.4633 1
O1 O 0.0350 0.8925 0.6725 1
O2 O 0.1588 0.8412 0.3412 1